# 1
A plane-wave DFT calculation with GGA-PBE was carried out for a relaxed structure of Sn3TeSe3.

```
data_Sn3TeSe3
_cell_length_a 8.983
_cell_length_b 4.073
_cell_length_c 11.818
_cell_angle_alpha 90.00
_cell_angle_beta 92.26
_cell_angle_gamma 90.00
_space_group_name_H-M_alt 'P 1 21/m 1'
_space_group_IT_number 11
_space_group_name_Hall '-P 2yb'
loop_
_atom_site_label
_atom_site_fract_x
_atom_site_fract_y
_atom_site_fract_z
Sn1 0.121 0.250 0.142
Sn2 0.337 0.750 0.855
Sn3 0.368 0.750 0.382
Te1 0.378 0.750 0.124
Se1 0.121 0.250 0.864
Se2 0.159 0.250 0.380
Se3 0.403 0.750 0.617
```

Values from the calculation:
Spin magnetization, μB per atom: 0.00
Calculated volume, Å³ per cell: 432.00
Energy relative to the elements, uncorrected, kcal/mol of atoms: -7.159

---

# 2
A plane-wave DFT calculation with GGA-PBE was carried out for a relaxed structure of MgHCl2.

```
data_MgHCl2
_cell_length_a 6.361
_cell_length_b 3.673
_cell_length_c 8.790
_cell_angle_alpha 90.00
_cell_angle_beta 104.58
_cell_angle_gamma 90.00
_space_group_name_H-M_alt 'C 1 m 1'
_space_group_IT_number 8
_space_group_name_Hall 'C -2y'
loop_
_atom_site_label
_atom_site_fract_x
_atom_site_fract_y
_atom_site_fract_z
Mg1 0.000 0.000 0.000
H1 0.343 0.500 0.499
Cl1 0.111 0.500 0.839
Cl2 0.389 0.000 0.161
```

Values from the calculation:
Final energy, eV per cell: -23.941
Spin magnetization, μB per atom: 0.25
Calculated volume, Å³ per cell: 198.77

---

Among the records above, which one has the highest spin magnetization? MgHCl2